A relaxed YH3Pd crystal, computed with PBEsol.

Its total energy is -5.08 eV/atom. For the density of states at the Fermi level, the calculation gives 0.185 states/eV/atom. The size of the total moment comes out at 0.000 μB/f.u.

The space group is Pm-3m (No. 221) and the conventional cell measures 3.654, 3.654 and 3.654 Å, with angles of 90.00, 90.00 and 90.00 degrees. The inequivalent atoms are Y at (0.000, 0.000, 0.000), H at (0.000, 0.500, 0.500) and Pd at (0.500, 0.500, 0.500).


A relaxed YHPd3 crystal, computed with PBEsol.

Its total energy is -6.34 eV/atom. The polymorph energy (0 for the lowest one) is 26 meV per atom. For the density of states at the Fermi level, the calculation gives 0.140 states/eV/atom. The size of the total moment comes out at 0.000 μB/f.u.

The space group is Pm-3m (No. 221) and the conventional cell measures 4.095, 4.095 and 4.095 Å, with angles of 90.00, 90.00 and 90.00 degrees. The inequivalent atoms are Y at (0.000, 0.000, 0.000), H at (0.500, 0.500, 0.500) and Pd at (0.000, 0.500, 0.500).


A relaxed Y2H2Pd crystal, computed with PBEsol.

Its total energy is -6.01 eV/atom. For the density of states at the Fermi level, the calculation gives 0.468 states/eV/atom. The size of the total moment comes out at 0.000 μB/f.u.

The space group is I4/mmm (No. 139) and the conventional cell measures 3.492, 3.492 and 12.328 Å, with angles of 90.00, 90.00 and 90.00 degrees. The inequivalent atoms are Y at (0.000, 0.000, 0.141), H at (0.000, 0.500, 0.250) and Pd at (0.000, 0.000, 0.500).


A relaxed YHPd3 crystal, computed with PBEsol.

Its total energy is -6.37 eV/atom. The polymorph energy (0 for the lowest one) is 0 meV per atom. For the density of states at the Fermi level, the calculation gives 0.234 states/eV/atom. The size of the total moment comes out at 0.000 μB/f.u.

The space group is P6_3/mmc (No. 194) and the conventional cell measures 5.8003, 5.8003 and 4.8308 Å, with angles of 90.00, 90.00 and 120.00 degrees. The inequivalent atoms are Y at (0.3333, 0.6667, 0.2500), H at (0.3333, 0.6667, 0.7500) and Pd at (0.1557, 0.3115, 0.7500).


A relaxed YH3Pd crystal, computed with PBEsol.

Its total energy is -4.41 eV/atom. For the density of states at the Fermi level, the calculation gives 0.147 states/eV/atom. The size of the total moment comes out at 0.000 μB/f.u.

The space group is Pm-3m (No. 221) and the conventional cell measures 3.924, 3.924 and 3.924 Å, with angles of 90.00, 90.00 and 90.00 degrees. The inequivalent atoms are Y at (0.000, 0.000, 0.000), H at (0.000, 0.000, 0.500) and Pd at (0.500, 0.500, 0.500).


A relaxed ZnHPd3 crystal, computed with PBEsol.

Its total energy is -4.89 eV/atom. For the density of states at the Fermi level, the calculation gives 0.906 states/eV/atom. The size of the total moment comes out at 0.000 μB/f.u.

The space group is Pm-3m (No. 221) and the conventional cell measures 3.902, 3.902 and 3.902 Å, with angles of 90.00, 90.00 and 90.00 degrees. The inequivalent atoms are Zn at (0.000, 0.000, 0.000), H at (0.500, 0.500, 0.500) and Pd at (0.000, 0.500, 0.500).


A relaxed ZnHPd3 crystal, computed with PBEsol.

Its total energy is -4.89 eV/atom. For the density of states at the Fermi level, the calculation gives 0.794 states/eV/atom. The size of the total moment comes out at 0.000 μB/f.u.

The space group is Imma (No. 74) and the conventional cell measures 5.517, 7.781 and 5.537 Å, with angles of 90.00, 90.00 and 90.00 degrees. The inequivalent atoms are Zn at (0.000, 0.250, 0.000), H at (0.000, 0.000, 0.500), Pd at (0.000, 0.250, 0.475) and Pd at (0.250, 0.013, 0.750).


A relaxed ZrZnH2Pd crystal, computed with PBEsol.

Its total energy is -4.51 eV/atom. For the density of states at the Fermi level, the calculation gives 0.444 states/eV/atom. The size of the total moment comes out at 0.001 μB/f.u.

The space group is P4/mmm (No. 123) and the conventional cell measures 3.654, 3.654 and 4.724 Å, with angles of 90.00, 90.00 and 90.00 degrees. The inequivalent atoms are Zr at (0.000, 0.000, 0.000), Zn at (0.500, 0.500, 0.000), H at (0.000, 0.500, 0.500) and Pd at (0.500, 0.500, 0.500).